No. 1
# PBE-GGA ScSiAg, relaxed
data_ScSiAg
_space_group_name_H-M_alt 'P 1'
_space_group_IT_number 1
_space_group_name_Hall 'P 1'
_cell_length_a 4.503
_cell_length_b 4.503
_cell_length_c 6.169
_cell_angle_alpha 90.00
_cell_angle_beta 90.00
_cell_angle_gamma 120.00
loop_
_atom_site_label
_atom_site_type_symbol
_atom_site_fract_x
_atom_site_fract_y
_atom_site_fract_z
_atom_site_occupancy
Sc1 Sc 0.000 0.000 0.000 1
Sc2 Sc 0.333 0.667 0.337 1
Si1 Si 0.333 0.667 0.821 1
Si2 Si 0.667 0.333 0.219 1
Ag1 Ag 0.000 0.000 0.509 1
Ag2 Ag 0.667 0.333 0.689 1
# - E: -5.1817 eV/atom



No. 2
# PBE-GGA ScSiAg2, relaxed
data_ScSiAg2
_space_group_name_H-M_alt 'P 1'
_space_group_IT_number 1
_space_group_name_Hall 'P 1'
_cell_length_a 3.407
_cell_length_b 3.828
_cell_length_c 5.695
_cell_angle_alpha 90.00
_cell_angle_beta 90.00
_cell_angle_gamma 90.00
loop_
_atom_site_label
_atom_site_type_symbol
_atom_site_fract_x
_atom_site_fract_y
_atom_site_fract_z
_atom_site_occupancy
Sc1 Sc 0.000 0.000 0.000 1
Si1 Si 0.000 0.000 0.500 1
Ag1 Ag 0.500 0.500 0.253 1
Ag2 Ag 0.500 0.500 0.747 1
# - E: -4.4280 eV/atom